! Nd2DyHo PBE optimized geometry; values from VASP
&SYSTEM
  ibrav = 0, nat = 4, ntyp = 3
/
ATOMIC_SPECIES
Nd 144.24 Nd.upf
Dy 162.50 Dy.upf
Ho 164.93 Ho.upf
ATOMIC_POSITIONS angstrom
Nd 0.000 2.561 0.000
Nd 2.561 0.000 0.000
Dy 0.000 0.000 2.526
Ho 2.561 2.561 2.526
CELL_PARAMETERS angstrom
5.121 0.000 0.000
0.000 5.121 0.000
0.000 0.000 5.053
! - density (g/cm3) = 7.72
! - ΔE_f (meV/atom) = 20
! - electronic total energy (eV for the cell shown) = -18.63
! - ΔE to the lowest computed polymorph (eV per atom) = 0.008